# 1
The following is a DFT calculation (PBE) of crystalline LaCdAsSe2 at its relaxed geometry.

Unit cell a=5.212 b=5.212 c=5.082 alpha=90.00 beta=90.00 gamma=90.00
Space group P4/mmm (No. 123)
One atom of each set of equivalent atoms:
1 La 0.000 0.000 0.000 (multiplicity 1)
2 Cd 0.500 0.500 0.500 (multiplicity 1)
3 As 0.500 0.500 0.000 (multiplicity 1)
4 Se 0.000 0.500 0.500 (multiplicity 2)

Output
- size of the total moment (μB/cell) = 0.000
- E above lowest polymorph (meV per atom) = 0.0
- ΔE_f (raw) (eV per atom) = -0.3762
- crystal system = tetragonal
- calculated volume (Å³ per cell) = 138

# 2
The following is a DFT calculation (PBE) of crystalline Tl2CuP at its relaxed geometry.

Unit cell a=4.143 b=3.806 c=6.022 alpha=90.00 beta=108.26 gamma=90.00
Space group P2/m (No. 10)
One atom of each set of equivalent atoms:
1 Tl 0.241 0.000 0.252 (multiplicity 2)
2 Cu 0.000 0.500 0.500 (multiplicity 1)
3 P 0.500 0.500 0.000 (multiplicity 1)

Output
- size of the total moment (μB/cell) = 0.000
- calculated formation energy (eV/atom) = 0.45
- E above lowest polymorph (meV per atom) = 486.4
- crystal system = monoclinic
- calculated volume (Å³ per cell) = 90

# 3
The following is a DFT calculation (PBE) of crystalline TiSiPd at its relaxed geometry.

Unit cell a=5.231 b=5.266 c=6.619 alpha=90.00 beta=96.01 gamma=90.00
Space group C2/m (No. 12)
One atom of each set of equivalent atoms:
1 Ti 0.000 0.249 0.000 (multiplicity 4)
2 Si 0.209 0.000 0.701 (multiplicity 4)
3 Pd 0.215 0.500 0.660 (multiplicity 4)

Output
- size of the total moment (μB/cell) = 0.000
- ΔE_f (raw) (eV per atom) = -0.5020
- crystal system = monoclinic
- calculated volume (Å³ per cell) = 181